(1)
DFT (PBE) results for an optimized crystal structure of NpVMo.

CIF file:
```
data_NpVMo
_chemical_formula_sum 'Np2 V2 Mo2'
_cell_length_a 4.8308
_cell_length_b 4.9328
_cell_length_c 5.2814
_cell_angle_alpha 62.73
_cell_angle_beta 62.92
_cell_angle_gamma 89.94
_space_group_name_H-M_alt 'P 1'
_space_group_IT_number 1
loop_
_space_group_symop_operation_xyz
'x,y,z'
loop_
_atom_site_label
_atom_site_fract_x
_atom_site_fract_y
_atom_site_fract_z
Np1 0.0000 0.0000 0.0000
Np2 0.0000 0.5000 0.0000
V1 0.3284 0.1475 0.3439
V2 0.6716 0.8525 0.6561
Mo1 0.3337 0.6604 0.3321
Mo2 0.6663 0.3396 0.6679
```

As for the formation energy: 0.9 eV per formula unit. As for the calculated density: 13.26 g/cm3. As for the density of states at the Fermi level: 4.337 states/eV/f.u. As for the crystal system: triclinic. For the excess energy over the best structure of this formula in the dataset, the calculation gives 0.0000 eV/atom. The space group is No. 2.

***

(2)
DFT (PBE) results for an optimized crystal structure of NpZnMo.

CIF file:
```
data_NpZnMo
_chemical_formula_sum 'Np2 Zn2 Mo2'
_cell_length_a 4.4273
_cell_length_b 4.4273
_cell_length_c 8.8102
_cell_angle_alpha 111.02
_cell_angle_beta 111.02
_cell_angle_gamma 44.85
_space_group_name_H-M_alt 'P 1'
_space_group_IT_number 1
loop_
_space_group_symop_operation_xyz
'x,y,z'
loop_
_atom_site_label
_atom_site_fract_x
_atom_site_fract_y
_atom_site_fract_z
Np1 0.2263 0.2263 0.0919
Np2 0.7737 0.7737 0.9081
Zn1 0.1752 0.1752 0.5805
Zn2 0.8248 0.8248 0.4195
Mo1 0.0407 0.0407 0.2409
Mo2 0.9593 0.9593 0.7591
```

As for the formation energy: 1.6 eV per formula unit. As for the calculated density: 11.79 g/cm3. As for the density of states at the Fermi level: 4.081 states/eV/f.u. As for the crystal system: monoclinic. The space group is No. 12.